1.
# PBE-GGA La2Pm5NdTl, relaxed
# energy	-39.41	eV/f.u.
# symmetry	I4/mcm
# ΔE_f	0.15	eV per atom
data_La2Pm5NdTl
_chemical_formula_sum 'La4 Pm10 Nd2 Tl2'
_space_group_name_H-M_alt 'P 1'
_space_group_IT_number 1
_space_group_name_Hall 'P 1'
_cell_length_a 9.8294
_cell_length_b 9.8294
_cell_length_c 9.8294
_cell_angle_alpha 124.28
_cell_angle_beta 124.28
_cell_angle_gamma 82.73
loop_
_atom_site_label
_atom_site_fract_x
_atom_site_fract_y
_atom_site_fract_z
La1 0.1204 0.6204 0.7408
La2 0.3796 0.1204 0.5000
La3 0.6204 0.8796 0.5000
La4 0.8796 0.3796 0.2592
Pm1 0.0000 0.0000 0.0000
Pm2 0.0582 0.1648 0.5000
Pm3 0.1648 0.6648 0.1066
Pm4 0.3352 0.4418 0.5000
Pm5 0.4418 0.9418 0.1066
Pm6 0.5000 0.5000 0.0000
Pm7 0.5582 0.0582 0.8934
Pm8 0.6648 0.5582 0.5000
Pm9 0.8352 0.3352 0.8934
Pm10 0.9418 0.8352 0.5000
Nd1 0.2500 0.2500 0.0000
Nd2 0.7500 0.7500 0.0000
Tl1 0.2500 0.7500 0.5000
Tl2 0.7500 0.2500 0.5000

2.
# PBE-GGA LaSm2I, relaxed
# energy above the most stable polymorph in this dataset	48.2	meV per atom
# raw formation energy	-0.356	eV per atom
# energy	-17.34	eV/f.u.
# symmetry	R3m
data_LaSm2I
_chemical_formula_sum 'La1 Sm2 I1'
_space_group_name_H-M_alt 'P 1'
_space_group_IT_number 1
_space_group_name_Hall 'P 1'
_cell_length_a 11.0619
_cell_length_b 11.0619
_cell_length_c 11.0619
_cell_angle_alpha 19.92
_cell_angle_beta 19.92
_cell_angle_gamma 19.92
loop_
_atom_site_label
_atom_site_fract_x
_atom_site_fract_y
_atom_site_fract_z
La1 0.0000 0.0000 0.0000
Sm1 0.2429 0.2429 0.2429
Sm2 0.4236 0.4236 0.4236
I1 0.8332 0.8332 0.8332

3.
# PBE-GGA SrLiSi2, relaxed
# energy above the most stable polymorph in this dataset	128.5	meV per atom
# raw formation energy	-0.285	eV per atom
# energy	-15.58	eV/f.u.
# symmetry	Imm2
data_SrLiSi2
_chemical_formula_sum 'Sr1 Li1 Si2'
_space_group_name_H-M_alt 'P 1'
_space_group_IT_number 1
_space_group_name_Hall 'P 1'
_cell_length_a 6.3569
_cell_length_b 6.3569
_cell_length_c 6.3569
_cell_angle_alpha 145.57
_cell_angle_beta 139.70
_cell_angle_gamma 54.02
loop_
_atom_site_label
_atom_site_fract_x
_atom_site_fract_y
_atom_site_fract_z
Sr1 0.0000 0.0000 0.0000
Li1 0.2538 0.7538 0.5000
Si1 0.6274 0.6274 0.0000
Si2 0.7560 0.2560 0.5000

4.
# PBE-GGA Tc2MoP, relaxed
# energy	-37.83	eV/f.u.
# symmetry	Imm2
# ΔE_f	-0.21	eV per atom
data_Tc2MoP
_chemical_formula_sum 'Tc2 Mo1 P1'
_space_group_name_H-M_alt 'P 1'
_space_group_IT_number 1
_space_group_name_Hall 'P 1'
_cell_length_a 5.0841
_cell_length_b 5.0841
_cell_length_c 5.0841
_cell_angle_alpha 146.26
_cell_angle_beta 129.08
_cell_angle_gamma 62.48
loop_
_atom_site_label
_atom_site_fract_x
_atom_site_fract_y
_atom_site_fract_z
Tc1 0.0000 0.0000 0.0000
Tc2 0.7283 0.2283 0.5000
Mo1 0.4462 0.4462 0.0000
P1 0.2197 0.7197 0.5000

5.
# PBE-GGA Sr4LiMg, relaxed
# energy above the most stable polymorph in this dataset	0.0	meV per atom
# energy	-10.28	eV/f.u.
# symmetry	P4/mmm
# ΔE_f	-0.01	eV per atom
data_Sr4LiMg
_chemical_formula_sum 'Sr4 Li1 Mg1'
_space_group_name_H-M_alt 'P 1'
_space_group_IT_number 1
_space_group_name_Hall 'P 1'
_cell_length_a 4.2334
_cell_length_b 4.2334
_cell_length_c 14.4114
_cell_angle_alpha 90.00
_cell_angle_beta 90.00
_cell_angle_gamma 90.00
loop_
_atom_site_label
_atom_site_fract_x
_atom_site_fract_y
_atom_site_fract_z
Sr1 0.0000 0.0000 0.1425
Sr2 0.0000 0.0000 0.8575
Sr3 0.5000 0.5000 0.3555
Sr4 0.5000 0.5000 0.6445
Li1 0.0000 0.0000 0.5000
Mg1 0.5000 0.5000 0.0000

6.
# PBE-GGA Pm2MnAlPd6, relaxed
# energy	-58.55	eV/f.u.
# symmetry	R-3m
# ΔE_f	-0.50	eV per atom
data_Pm2MnAlPd6
_chemical_formula_sum 'Pm2 Mn1 Al1 Pd6'
_space_group_name_H-M_alt 'P 1'
_space_group_IT_number 1
_space_group_name_Hall 'P 1'
_cell_length_a 8.2519
_cell_length_b 8.2519
_cell_length_c 8.2519
_cell_angle_alpha 40.39
_cell_angle_beta 40.39
_cell_angle_gamma 40.39
loop_
_atom_site_label
_atom_site_fract_x
_atom_site_fract_y
_atom_site_fract_z
Pm1 0.2089 0.2089 0.2089
Pm2 0.7911 0.7911 0.7911
Mn1 0.5000 0.5000 0.5000
Al1 0.0000 0.0000 0.0000
Pd1 0.2481 0.2481 0.7487
Pd2 0.2481 0.7487 0.2481
Pd3 0.2513 0.7519 0.7519
Pd4 0.7487 0.2481 0.2481
Pd5 0.7519 0.2513 0.7519
Pd6 0.7519 0.7519 0.2513

7.
# PBE-GGA Cu2GeH2, relaxed
# energy above the most stable polymorph in this dataset	200.1	meV per atom
# energy	-16.74	eV/f.u.
# symmetry	P4/mbm
data_Cu2GeH2
_chemical_formula_sum 'Cu4 Ge2 H4'
_space_group_name_H-M_alt 'P 1'
_space_group_IT_number 1
_space_group_name_Hall 'P 1'
_cell_length_a 6.6201
_cell_length_b 6.6201
_cell_length_c 2.4940
_cell_angle_alpha 90.00
_cell_angle_beta 90.00
_cell_angle_gamma 90.00
loop_
_atom_site_label
_atom_site_fract_x
_atom_site_fract_y
_atom_site_fract_z
Cu1 0.1268 0.3732 0.0000
Cu2 0.3732 0.8732 0.0000
Cu3 0.6268 0.1268 0.0000
Cu4 0.8732 0.6268 0.0000
Ge1 0.0000 0.0000 0.0000
Ge2 0.5000 0.5000 0.0000
H1 0.0961 0.5961 0.5000
H2 0.4039 0.0961 0.5000
H3 0.5961 0.9039 0.5000
H4 0.9039 0.4039 0.5000

8.
# PBE-GGA PaSiC2, relaxed
# raw formation energy	0.323	eV per atom
# energy	-32.08	eV/f.u.
# symmetry	R-3m
data_PaSiC2
_chemical_formula_sum 'Pa1 Si1 C2'
_space_group_name_H-M_alt 'P 1'
_space_group_IT_number 1
_space_group_name_Hall 'P 1'
_cell_length_a 5.9103
_cell_length_b 5.9103
_cell_length_c 5.9103
_cell_angle_alpha 37.72
_cell_angle_beta 37.72
_cell_angle_gamma 37.72
loop_
_atom_site_label
_atom_site_fract_x
_atom_site_fract_y
_atom_site_fract_z
Pa1 0.0000 0.0000 0.0000
Si1 0.5000 0.5000 0.5000
C1 0.3932 0.3932 0.3932
C2 0.6068 0.6068 0.6068